K2Mn2Zn4Si4O15 | PBEsol | optimized geometry

It has space group Imm2 (No. 44), with a = 9.027 Å, b = 15.776 Å, c = 5.200 Å, α = 90.00°, β = 90.00° and γ = 90.00°. Symmetry generates all atoms from K at (0.000, 0.116, 0.000), Mn at (0.158, 0.500, 0.541), Zn at (0.188, 0.306, 0.900), Si at (0.000, 0.307, 0.412), Si at (0.174, 0.000, 0.488), O at (0.000, 0.000, 0.387), O at (0.000, 0.285, 0.098), O at (0.000, 0.408, 0.466), O at (0.149, 0.263, 0.544), O at (0.176, 0.000, 0.796) and O at (0.250, 0.081, 0.342).

For the volume, the calculation gives 13.7 A^3/atom. The calculation puts the uncorrected formation energy at -2.09 eV per atom.



Ca2ScTl | PBEsol | optimized geometry

It has space group Pmm2 (No. 25), with a = 3.534 Å, b = 4.449 Å, c = 7.373 Å, α = 90.00°, β = 90.00° and γ = 90.00°. Symmetry generates all atoms from Ca at (0.000, 0.000, 0.000), Ca at (0.500, 0.500, 0.315), Sc at (0.000, 0.000, 0.574) and Tl at (0.500, 0.500, 0.756).

The distance to the lowest polymorph of the same formula is 0.00 eV per formula unit. For the volume, the calculation gives 29.0 A^3/atom. The energy of formation from the pure elements comes out at -0.099 eV/atom.



TmMg2 | PBEsol | optimized geometry

It has space group P6_3/mmc (No. 194), with a = 5.9446 Å, b = 5.9446 Å, c = 9.6418 Å, α = 90.00°, β = 90.00° and γ = 120.00°. Symmetry generates all atoms from Tm at (0.3333, 0.6667, 0.0635), Mg at (0.0000, 0.0000, 0.0000) and Mg at (0.1711, 0.3422, 0.7500).

For the volume, the calculation gives 24.6 A^3/atom. The energy of formation from the pure elements comes out at -0.038 eV/atom.



TiNbB2 | PBEsol | optimized geometry

It has space group Amm2 (No. 38), with a = 3.088 Å, b = 3.270 Å, c = 8.600 Å, α = 90.00°, β = 90.00° and γ = 90.00°. Symmetry generates all atoms from Ti at (0.000, 0.000, 0.000), Nb at (0.500, 0.000, 0.709), B at (0.000, 0.000, 0.299) and B at (0.500, 0.000, 0.415).

The distance to the lowest polymorph of the same formula is 0.00 eV per formula unit. For the volume, the calculation gives 10.9 A^3/atom. The energy of formation from the pure elements comes out at -0.869 eV/atom.